This record from the Alexandria database describes crystalline Al2GaSe at its relaxed geometry. The functional is PBE.

Magnetic moment ... 0.00 μB per formula unit
Energy relative to the lowest polymorph listed for this composition ... 0 kJ/mol of formula units
Energy ... -14.4 eV per formula unit

a b c (Å): 7.093 7.093 7.093
angles (deg): 130.39 130.39 72.79
Fractional coordinates of all 8 atoms:
Al1 0.119 0.625 0.994
Al2 0.375 0.369 0.494
Al3 0.631 0.125 0.006
Al4 0.875 0.881 0.506
Ga1 0.000 0.000 0.000
Ga2 0.750 0.250 0.500
Se1 0.250 0.750 0.500
Se2 0.500 0.500 0.000